[1]
First-principles (PBE-GGA) data for Ac3Pd2Pb7 after structural relaxation, as listed in Alexandria.

Computed properties:
formation enthalpy at 0 K	-465	meV per atom
N(E_F)	6.36	states/eV/cell

Cell lengths 4.9871, 4.8868, 15.0973 Å; angles 90.00, 99.44, 90.00 degrees
Last column: nearest neighbours and their distance in Å.
Space group P2/m (No. 10)
Unique sites:
Ac  0.0000  0.0000  0.0000  12 Pb 3.49-3.60, 2 Pd 3.88
Ac  0.3167  0.5000  0.6351  10 Pb 3.67-3.81, 4 Pd 3.81-3.84
Pd  0.1273  0.0000  0.2605  5 Pb 2.70-2.81
Pb  0.0858  0.5000  0.1718  2 Pd 2.78
Pb  0.2212  0.0000  0.4418  1 Pd 2.70
Pb  0.4151  0.0000  0.8263  2 Pd 2.81
Pb  0.5000  0.5000  0.0000  4 Ac 3.49, 8 Pb 3.56-3.57

***

[2]
First-principles (PBE-GGA) data for PuSO6F after structural relaxation, as listed in Alexandria.

Computed properties:
N(E_F)	0.51	states/eV/cell
energy relative to the elements, uncorrected	-1.84	eV per atom

Cell lengths 5.2414, 5.4100, 5.5111 Å; angles 93.96, 90.35, 100.15 degrees
Last column: nearest neighbours and their distance in Å.
Space group P1 (No. 1)
Unique sites:
Pu  0.0000  0.0000  0.0000  2 O 1.76
S  0.5705  0.4210  0.8402  4 O 1.43-1.52
O  0.0929  0.8826  0.7148  1 Pu 1.76
O  0.3247  0.3304  0.9734  1 S 1.51
O  0.5223  0.5013  0.6043  1 S 1.43
O  0.7207  0.6248  0.0108  1 S 1.50
O  0.7218  0.2046  0.8188  1 S 1.52
O  0.9010  0.1230  0.2804  1 Pu 1.76
F  0.2666  0.8373  0.1723  1 Pu 2.04

***

[3]
First-principles (PBE-GGA) data for LaEuSn4 after structural relaxation, as listed in Alexandria.

Computed properties:
formation enthalpy at 0 K	-465	meV per atom
N(E_F)	21.72	states/eV/cell

Cell lengths 8.8819, 8.8819, 8.8819 Å; angles 90.00, 90.00, 90.00 degrees
Last column: nearest neighbours and their distance in Å.
Space group F-43m (No. 216)
Unique sites:
La  0.0000  0.0000  0.0000  12 Sn 3.68, 4 Eu 3.85
Eu  0.2500  0.2500  0.2500  12 Sn 3.68, 4 La 3.85
Sn  0.1251  0.1251  0.6251  6 Sn 3.14

***

[4]
First-principles (PBE-GGA) data for Pu2GeOs after structural relaxation, as listed in Alexandria.

Computed properties:
formation enthalpy at 0 K	-48	meV per atom
N(E_F)	47.79	states/eV/cell

Cell lengths 6.9295, 6.9295, 6.9295 Å; angles 90.00, 90.00, 90.00 degrees
Last column: nearest neighbours and their distance in Å.
Space group Fm-3m (No. 225)
Unique sites:
Pu  0.2500  0.2500  0.2500  4 Ge 3.00, 4 Os 3.00
Ge  0.0000  0.0000  0.0000  8 Pu 3.00
Os  0.0000  0.0000  0.5000  8 Pu 3.00

***

- Which value of N(E_F) does entry 4 give?
  47.79 states/eV/cell